Entry 1:
Below is a geometry-optimized MnPRuCl2 structure, with properties calculated at the PBE level.

Cell: 4.9195 4.9195 4.4921 Å, 90.00 90.00 90.00°
Each line ends with the local moment (μB).
Fractional positions:
1 Ru 0.0000 0.0000 0.0000  0.13
2 Mn 0.5000 0.5000 0.5000  4.64
3 P 0.0000 0.0000 0.5000  -0.03
4 Cl 0.0000 0.5000 0.0000  0.04
5 Cl 0.5000 0.0000 0.0000  0.04

* uncorrected energy: -25.698 eV per formula unit
* crystal system: tetragonal
* space group: No. 123
* N(E_F): 0.534 states/eV/atom
* theoretical density: 3.9 g/cm³
* ΔE to the lowest computed polymorph: 0 meV/atom

***

Entry 2:
Below is a geometry-optimized MnP2RuCl structure, with properties calculated at the PBE level.

Cell: 4.3846 4.3846 4.6343 Å, 90.00 90.00 90.00°
Each line ends with the local moment (μB).
Fractional positions:
1 Ru 0.5000 0.5000 0.5000  2.11
2 Mn 0.0000 0.0000 0.0000  -1.95
3 P 0.0000 0.5000 0.0000  0.03
4 P 0.5000 0.0000 0.0000  0.03
5 Cl 0.0000 0.0000 0.5000  0.08

* uncorrected energy: -26.993 eV per formula unit
* crystal system: tetragonal
* space group: No. 123
* N(E_F): 0.712 states/eV/atom
* theoretical density: 4.7 g/cm³
* ΔE to the lowest computed polymorph: 288 meV/atom

***

Entry 3:
Below is a geometry-optimized MnP2RuCl structure, with properties calculated at the PBE level.

Cell: 4.5106 4.5106 5.1093 Å, 90.00 90.00 90.00°
Each line ends with the local moment (μB).
Fractional positions:
1 Ru 0.0000 0.0000 0.0000  -0.04
2 Mn 0.5000 0.5000 0.5000  4.47
3 P 0.0000 0.5000 0.0000  -0.05
4 P 0.5000 0.0000 0.0000  -0.05
5 Cl 0.0000 0.0000 0.5000  0.04

* uncorrected energy: -28.434 eV per formula unit
* crystal system: tetragonal
* space group: No. 123
* N(E_F): 0.813 states/eV/atom
* theoretical density: 4.0 g/cm³
* ΔE to the lowest computed polymorph: 0 meV/atom

***

Entry 4:
Below is a geometry-optimized MnPRuCl2 structure, with properties calculated at the PBE level.

Cell: 4.6528 4.6528 4.3946 Å, 90.00 90.00 90.00°
Each line ends with the local moment (μB).
Fractional positions:
1 Ru 0.5000 0.5000 0.5000  2.61
2 Mn 0.0000 0.0000 0.0000  -0.16
3 P 0.0000 0.0000 0.5000  0.03
4 Cl 0.0000 0.5000 0.0000  0.09
5 Cl 0.5000 0.0000 0.0000  0.09

* uncorrected energy: -23.325 eV per formula unit
* crystal system: tetragonal
* space group: No. 123
* N(E_F): 1.235 states/eV/atom
* theoretical density: 4.5 g/cm³
* ΔE to the lowest computed polymorph: 475 meV/atom

***

Entry 5:
Below is a geometry-optimized MnPSCl2 structure, with properties calculated at the PBE level.

Cell: 4.3401 4.3401 4.8441 Å, 90.00 90.00 90.00°
Fractional positions:
1 P 0.0000 0.0000 0.5000
2 S 0.5000 0.5000 0.5000
3 Mn 0.0000 0.0000 0.0000
4 Cl 0.0000 0.5000 0.0000
5 Cl 0.5000 0.0000 0.0000

* uncorrected energy: -20.132 eV per formula unit
* crystal system: tetragonal
* space group: No. 123
* N(E_F): 1.371 states/eV/atom
* theoretical density: 3.4 g/cm³
* ΔE to the lowest computed polymorph: 203 meV/atom

***

Entry 6:
Below is a geometry-optimized MnPSCl2 structure, with properties calculated at the PBE level.

Cell: 4.7438 4.7438 4.8109 Å, 90.00 90.00 90.00°
Each line ends with the local moment (μB).
Fractional positions:
1 P 0.0000 0.0000 0.5000  -0.09
2 S 0.0000 0.0000 0.0000  0.10
3 Mn 0.5000 0.5000 0.5000  4.54
4 Cl 0.0000 0.5000 0.0000  0.05
5 Cl 0.5000 0.0000 0.0000  0.05

* uncorrected energy: -19.166 eV per formula unit
* crystal system: tetragonal
* space group: No. 123
* N(E_F): 0.757 states/eV/atom
* theoretical density: 2.9 g/cm³
* ΔE to the lowest computed polymorph: 396 meV/atom

***

Entry 7:
Below is a geometry-optimized MnPS2Cl structure, with properties calculated at the PBE level.

Cell: 4.4224 4.4224 4.4996 Å, 90.00 90.00 90.00°
Fractional positions:
1 P 0.5000 0.5000 0.5000
2 S 0.0000 0.5000 0.0000
3 S 0.5000 0.0000 0.0000
4 Mn 0.0000 0.0000 0.0000
5 Cl 0.0000 0.0000 0.5000

* uncorrected energy: -21.930 eV per formula unit
* crystal system: tetragonal
* space group: No. 123
* N(E_F): 1.360 states/eV/atom
* theoretical density: 3.5 g/cm³
* ΔE to the lowest computed polymorph: 235 meV/atom

***

Entry 8:
Below is a geometry-optimized MnPS2Cl structure, with properties calculated at the PBE level.

Cell: 4.6348 4.6348 4.6513 Å, 90.00 90.00 90.00°
Each line ends with the local moment (μB).
Fractional positions:
1 P 0.0000 0.0000 0.5000  -0.08
2 S 0.0000 0.5000 0.0000  -0.07
3 S 0.5000 0.0000 0.0000  -0.07
4 Mn 0.5000 0.5000 0.5000  4.39
5 Cl 0.0000 0.0000 0.0000  -0.07

* uncorrected energy: -18.661 eV per formula unit
* crystal system: tetragonal
* space group: No. 123
* N(E_F): 1.095 states/eV/atom
* theoretical density: 3.1 g/cm³
* ΔE to the lowest computed polymorph: 889 meV/atom

***

Entry 9:
Below is a geometry-optimized MnPS2Cl structure, with properties calculated at the PBE level.

Cell: 4.2864 4.2864 4.8286 Å, 90.00 90.00 90.00°
Fractional positions:
1 P 0.0000 0.0000 0.5000
2 S 0.0000 0.5000 0.0000
3 S 0.5000 0.0000 0.0000
4 Mn 0.0000 0.0000 0.0000
5 Cl 0.5000 0.5000 0.5000

* uncorrected energy: -22.822 eV per formula unit
* crystal system: tetragonal
* space group: No. 123
* N(E_F): 1.014 states/eV/atom
* theoretical density: 3.5 g/cm³
* ΔE to the lowest computed polymorph: 56 meV/atom

***

Entry 10:
Below is a geometry-optimized MnPS2Cl structure, with properties calculated at the PBE level.

Cell: 4.6380 4.6380 4.5628 Å, 90.00 90.00 90.00°
Each line ends with the local moment (μB).
Fractional positions:
1 P 0.0000 0.0000 0.0000  0.06
2 S 0.0000 0.5000 0.0000  0.04
3 S 0.5000 0.0000 0.0000  0.04
4 Mn 0.5000 0.5000 0.5000  4.51
5 Cl 0.0000 0.0000 0.5000  0.03

* uncorrected energy: -23.104 eV per formula unit
* crystal system: tetragonal
* space group: No. 123
* N(E_F): 0.375 states/eV/atom
* theoretical density: 3.1 g/cm³
* ΔE to the lowest computed polymorph: 0 meV/atom

***

Entry 11:
Below is a geometry-optimized MnPSCl2 structure, with properties calculated at the PBE level.

Cell: 4.7212 4.7212 4.7716 Å, 90.00 90.00 90.00°
Each line ends with the local moment (μB).
Fractional positions:
1 P 0.0000 0.0000 0.0000  -0.01
2 S 0.0000 0.0000 0.5000  0.01
3 Mn 0.5000 0.5000 0.5000  4.58
4 Cl 0.0000 0.5000 0.0000  0.03
5 Cl 0.5000 0.0000 0.0000  0.03

* uncorrected energy: -21.145 eV per formula unit
* crystal system: tetragonal
* space group: No. 123
* N(E_F): 0.497 states/eV/atom
* theoretical density: 2.9 g/cm³
* ΔE to the lowest computed polymorph: 0 meV/atom

***

Entry 12:
Below is a geometry-optimized MnPSCl2 structure, with properties calculated at the PBE level.

Cell: 4.5215 4.5215 4.4763 Å, 90.00 90.00 90.00°
Each line ends with the local moment (μB).
Fractional positions:
1 P 0.5000 0.5000 0.5000  -0.09
2 S 0.0000 0.0000 0.5000  0.01
3 Mn 0.0000 0.0000 0.0000  -0.09
4 Cl 0.0000 0.5000 0.0000  0.01
5 Cl 0.5000 0.0000 0.0000  0.01

* uncorrected energy: -19.961 eV per formula unit
* crystal system: tetragonal
* space group: No. 123
* N(E_F): 1.652 states/eV/atom
* theoretical density: 3.4 g/cm³
* ΔE to the lowest computed polymorph: 237 meV/atom

***

Entry 13:
Below is a geometry-optimized MnSbP2Cl structure, with properties calculated at the PBE level.

Cell: 5.0818 5.0818 5.0044 Å, 90.00 90.00 90.00°
Each line ends with the local moment (μB).
Fractional positions:
1 Sb 0.0000 0.0000 0.0000  0.01
2 Mn 0.5000 0.5000 0.5000  -0.36
3 P 0.0000 0.5000 0.0000  -0.04
4 P 0.5000 0.0000 0.0000  -0.04
5 Cl 0.0000 0.0000 0.5000  -0.01

* uncorrected energy: -18.695 eV per formula unit
* crystal system: tetragonal
* space group: No. 123
* N(E_F): 1.309 states/eV/atom
* theoretical density: 3.5 g/cm³
* ΔE to the lowest computed polymorph: 1165 meV/atom

***

Entry 14:
Below is a geometry-optimized MnSbPCl2 structure, with properties calculated at the PBE level.

Cell: 5.1787 5.1787 5.3256 Å, 90.00 90.00 90.00°
Each line ends with the local moment (μB).
Fractional positions:
1 Sb 0.0000 0.0000 0.0000  0.03
2 Mn 0.5000 0.5000 0.5000  4.68
3 P 0.0000 0.0000 0.5000  -0.02
4 Cl 0.0000 0.5000 0.0000  0.02
5 Cl 0.5000 0.0000 0.0000  0.02

* uncorrected energy: -20.329 eV per formula unit
* crystal system: tetragonal
* space group: No. 123
* N(E_F): 0.311 states/eV/atom
* theoretical density: 3.2 g/cm³
* ΔE to the lowest computed polymorph: 162 meV/atom

***

Entry 15:
Below is a geometry-optimized MnSbPCl2 structure, with properties calculated at the PBE level.

Cell: 4.4872 4.4872 4.8681 Å, 90.00 90.00 90.00°
Each line ends with the local moment (μB).
Fractional positions:
1 Sb 0.5000 0.5000 0.5000  -0.06
2 Mn 0.0000 0.0000 0.0000  0.18
3 P 0.0000 0.0000 0.5000  0.00
4 Cl 0.0000 0.5000 0.0000  0.00
5 Cl 0.5000 0.0000 0.0000  0.00

* uncorrected energy: -21.140 eV per formula unit
* crystal system: tetragonal
* space group: No. 123
* N(E_F): 1.734 states/eV/atom
* theoretical density: 4.7 g/cm³
* ΔE to the lowest computed polymorph: 0 meV/atom